No. 1
CaTbSc4Se8, optimized geometry, DFT PBE; crystal system = trigonal; total magnetization = 0.00 Bohr magnetons per cell; DOS at the Fermi energy = 6.2 states/eV per cell; formation energy from raw total energies = -1.67 eV/atom; space group = R3m (160)
1.0
4.049 2.338 6.772
-4.049 2.338 6.772
0.000 -4.676 6.772
Ca Tb Sc Se
1 1 4 8
Cartesian
0.000 0.000 0.000 Ca
0.000 0.000 12.813 Tb
-2.049 -1.183 9.379 Sc
0.000 0.000 5.198 Sc
2.049 -1.183 9.379 Sc
0.000 2.366 9.379 Sc
0.000 -2.259 10.973 Se
-1.956 1.130 10.973 Se
0.000 0.000 7.859 Se
-1.869 -1.079 14.654 Se
1.956 1.130 10.973 Se
0.000 0.000 17.559 Se
1.869 -1.079 14.654 Se
0.000 2.158 14.654 Se

=====

No. 2
ErLuPt4, optimized geometry, DFT PBE; crystal system = cubic; total magnetization = 0.00 Bohr magnetons per cell; DOS at the Fermi energy = 3.3 states/eV per cell; space group = F-43m (216); calculated formation energy = -108 kJ/mol of atoms
1.0
0.000 3.822 3.822
3.822 0.000 3.822
3.822 3.822 0.000
Er Lu Pt
1 1 4
Cartesian
0.000 0.000 0.000 Er
1.911 1.911 1.911 Lu
4.777 2.867 2.867 Pt
2.867 4.777 2.867 Pt
2.867 2.867 4.777 Pt
4.777 4.777 4.777 Pt

=====

No. 3
KNa2ZrSb, optimized geometry, DFT PBE; crystal system = tetragonal; total magnetization = 1.28 Bohr magnetons per cell; DOS at the Fermi energy = 4.0 states/eV per cell; formation energy from raw total energies = 0.32 eV/atom; space group = P4/mmm (123)
1.0
6.245 0.000 0.000
0.000 6.245 0.000
0.000 0.000 5.572
K Na Zr Sb
1 2 1 1
Cartesian
0.000 0.000 0.000 K
0.000 3.123 2.786 Na
3.123 0.000 2.786 Na
3.123 3.123 2.786 Zr
3.123 3.123 0.000 Sb

=====

No. 4
Er4Te5I, optimized geometry, DFT PBE; crystal system = orthorhombic; total magnetization = 2.00 Bohr magnetons per cell; formation energy from raw total energies = -1.11 eV/atom; space group = Pmmn (59)
1.0
8.964 0.000 0.000
0.000 10.765 0.000
0.000 0.000 7.537
Er Te I
8 10 2
Cartesian
0.386 2.691 0.359 Er
2.241 10.761 3.843 Er
2.241 5.387 3.843 Er
4.096 2.691 0.359 Er
4.867 8.074 7.177 Er
6.723 0.004 3.694 Er
6.723 5.378 3.694 Er
8.578 8.074 7.177 Er
0.078 5.961 1.782 Te
0.078 10.186 1.782 Te
2.241 2.691 2.724 Te
4.404 5.961 1.782 Te
4.404 10.186 1.782 Te
4.560 0.579 5.754 Te
4.560 4.804 5.754 Te
6.723 8.074 4.813 Te
8.885 0.579 5.754 Te
8.885 4.804 5.754 Te
2.241 8.074 5.428 I
6.723 2.691 2.109 I

=====

No. 5
BaAlSbTe2, optimized geometry, DFT PBE; crystal system = tetragonal; total magnetization = 0.00 Bohr magnetons per cell; DOS at the Fermi energy = 5.4 states/eV per cell; formation energy from raw total energies = -0.50 eV/atom; polymorph energy (0 for the lowest one) = 0.00 eV/f.u.; space group = P4/mmm (123)
1.0
5.675 0.000 0.000
0.000 5.675 0.000
0.000 0.000 5.212
Ba Al Sb Te
1 1 1 2
Cartesian
0.000 0.000 0.000 Ba
2.837 2.837 2.606 Al
2.837 2.837 0.000 Sb
0.000 2.837 2.606 Te
2.837 0.000 2.606 Te

=====

No. 6
CeSm2Ag, optimized geometry, DFT PBE; crystal system = tetragonal; total magnetization = 0.35 Bohr magnetons per cell; DOS at the Fermi energy = 6.2 states/eV per cell; polymorph energy (0 for the lowest one) = 0.00 eV/f.u.; space group = P4/mmm (123); calculated formation energy = -8 kJ/mol of atoms
1.0
3.665 0.000 0.000
0.000 3.665 0.000
0.000 0.000 8.386
Ce Sm Ag
1 2 1
Cartesian
0.000 0.000 0.000 Ce
1.832 1.832 2.325 Sm
1.832 1.832 6.061 Sm
0.000 0.000 4.193 Ag

=====

No. 7
LaErIn3, optimized geometry, DFT PBE; crystal system = orthorhombic; total magnetization = 0.27 Bohr magnetons per cell; DOS at the Fermi energy = 7.0 states/eV per cell; space group = Cmcm (63); calculated formation energy = -44 kJ/mol of atoms
1.0
1.884 -14.865 0.000
1.884 14.865 0.000
0.000 0.000 4.952
La Er In
2 2 6
Cartesian
1.884 12.634 3.714 La
1.884 -12.634 1.238 La
1.884 8.533 1.238 Er
1.884 -8.533 3.714 Er
1.884 5.399 1.238 In
1.884 3.683 3.714 In
1.884 0.743 3.714 In
1.884 -0.743 1.238 In
1.884 -3.683 1.238 In
1.884 -5.399 3.714 In

=====

No. 8
Li2Dy2AlPd5, optimized geometry, DFT PBE; crystal system = tetragonal; total magnetization = 0.00 Bohr magnetons per cell; DOS at the Fermi energy = 3.3 states/eV per cell; space group = P4/mbm (127); calculated formation energy = -70 kJ/mol of atoms
1.0
9.674 0.000 0.000
0.000 9.674 0.000
0.000 0.000 3.525
Li Dy Al Pd
4 4 2 10
Cartesian
1.193 3.644 0.000 Li
3.644 8.481 0.000 Li
6.030 1.193 0.000 Li
8.481 6.030 0.000 Li
1.705 6.542 0.000 Dy
3.132 1.705 0.000 Dy
6.542 7.970 0.000 Dy
7.970 3.132 0.000 Dy
0.000 0.000 0.000 Al
4.837 4.837 0.000 Al
0.000 4.837 1.763 Pd
0.620 1.948 1.763 Pd
1.948 9.054 1.763 Pd
2.890 4.217 1.763 Pd
4.217 6.785 1.763 Pd
4.837 0.000 1.763 Pd
5.457 2.890 1.763 Pd
6.785 5.457 1.763 Pd
7.727 0.620 1.763 Pd
9.054 7.727 1.763 Pd

=====

No. 9
Nd2Si4Ni3Ir, optimized geometry, DFT PBE; crystal system = tetragonal; total magnetization = 0.00 Bohr magnetons per cell; DOS at the Fermi energy = 5.2 states/eV per cell; formation energy from raw total energies = -0.87 eV/atom; space group = P-4m2 (115)
1.0
4.039 0.000 0.000
0.000 4.039 0.000
0.000 0.000 9.823
Nd Si Ni Ir
2 4 3 1
Cartesian
0.000 2.019 2.365 Nd
2.019 0.000 7.458 Nd
0.000 0.000 0.000 Si
0.000 2.019 6.246 Si
2.019 0.000 3.578 Si
2.019 2.019 0.000 Si
0.000 2.019 8.636 Ni
2.019 0.000 1.188 Ni
2.019 2.019 4.912 Ni
0.000 0.000 4.912 Ir

=====

No. 10
CsZr3Ti, optimized geometry, DFT PBE; crystal system = cubic; total magnetization = 0.00 Bohr magnetons per cell; DOS at the Fermi energy = 8.0 states/eV per cell; polymorph energy (0 for the lowest one) = 0.00 eV/f.u.; space group = Pm-3m (221); calculated formation energy = 107 kJ/mol of atoms
1.0
5.267 0.000 0.000
0.000 5.267 0.000
0.000 0.000 5.267
Cs Zr Ti
1 3 1
Cartesian
0.000 0.000 0.000 Cs
0.000 2.633 2.633 Zr
2.633 0.000 2.633 Zr
2.633 2.633 0.000 Zr
2.633 2.633 2.633 Ti

=====

No. 11
Dy5BiAs6, optimized geometry, DFT PBE; crystal system = monoclinic; total magnetization = 0.00 Bohr magnetons per cell; DOS at the Fermi energy = 0.9 states/eV per cell; space group = C2/m (12); calculated formation energy = -118 kJ/mol of atoms
1.0
3.597 -6.233 0.000
3.597 6.233 0.000
-2.398 0.000 6.778
Dy Bi As
5 1 6
Cartesian
0.000 0.000 0.000 Dy
2.398 4.145 3.389 Dy
3.597 2.057 0.000 Dy
3.597 -2.057 0.000 Dy
2.398 -4.145 3.389 Dy
2.398 0.000 3.389 Bi
1.177 2.115 1.674 As
-0.044 0.000 5.112 As
1.177 -2.115 1.674 As
3.620 2.115 5.104 As
4.840 0.000 1.666 As
3.620 -2.115 5.104 As

=====

No. 12
CuPdRh2, optimized geometry, DFT PBE; crystal system = tetragonal; total magnetization = 0.00 Bohr magnetons per cell; DOS at the Fermi energy = 6.0 states/eV per cell; space group = P4mm (99); calculated formation energy = 3 kJ/mol of atoms
1.0
2.746 0.000 0.000
0.000 2.746 0.000
0.000 0.000 7.457
Cu Pd Rh
1 1 2
Cartesian
0.000 0.000 0.000 Cu
1.373 1.373 1.829 Pd
0.000 0.000 3.825 Rh
1.373 1.373 5.641 Rh

=====

No. 13
Nb2MoPd, optimized geometry, DFT PBE; crystal system = tetragonal; total magnetization = 0.00 Bohr magnetons per cell; DOS at the Fermi energy = 4.0 states/eV per cell; space group = P4/mmm (123); calculated formation energy = -15 kJ/mol of atoms
1.0
3.281 0.000 0.000
0.000 3.281 0.000
0.000 0.000 6.308
Nb Mo Pd
2 1 1
Cartesian
0.000 0.000 1.502 Nb
0.000 0.000 4.806 Nb
1.640 1.640 0.000 Mo
1.640 1.640 3.154 Pd

=====

No. 14
AgSbCl, optimized geometry, DFT PBE; crystal system = trigonal; total magnetization = 0.00 Bohr magnetons per cell; DOS at the Fermi energy = 1.5 states/eV per cell; formation energy from raw total energies = 0.12 eV/atom; polymorph energy (0 for the lowest one) = 1.08 eV/f.u.; space group = P3m1 (156)
1.0
4.833 0.000 0.000
-2.416 4.185 0.000
0.000 0.000 3.349
Ag Sb Cl
1 1 1
Cartesian
0.000 0.000 0.000 Ag
0.000 2.790 2.328 Sb
2.416 1.395 0.866 Cl

=====

No. 15
Sn4BiSbTe2, optimized geometry, DFT PBE; crystal system = monoclinic; total magnetization = 0.00 Bohr magnetons per cell; DOS at the Fermi energy = 4.7 states/eV per cell; formation energy from raw total energies = -0.08 eV/atom; space group = P2/m (10)
1.0
7.688 0.000 0.000
0.000 4.467 0.000
-2.514 0.000 7.329
Sn Bi Sb Te
4 1 1 2
Cartesian
1.248 0.000 1.758 Sn
0.015 2.234 5.547 Sn
5.158 2.234 1.781 Sn
3.925 0.000 5.571 Sn
3.844 0.000 0.000 Bi
0.000 2.234 0.000 Sb
-1.257 0.000 3.664 Te
2.587 2.234 3.664 Te

=====

No. 16
TlAs2Ru, optimized geometry, DFT PBE; crystal system = monoclinic; total magnetization = 0.00 Bohr magnetons per cell; DOS at the Fermi energy = 3.0 states/eV per cell; polymorph energy (0 for the lowest one) = 0.56 eV/f.u.; space group = P2/m (10); calculated formation energy = 10 kJ/mol of atoms
1.0
4.884 0.000 0.000
0.000 4.094 0.000
-2.141 0.000 4.696
Tl As Ru
1 2 1
Cartesian
0.000 0.000 0.000 Tl
0.085 2.047 2.834 As
2.657 2.047 1.862 As
1.371 0.000 2.348 Ru

=====

No. 17
NiW2Se, optimized geometry, DFT PBE; crystal system = monoclinic; total magnetization = 0.00 Bohr magnetons per cell; DOS at the Fermi energy = 6.6 states/eV per cell; formation energy from raw total energies = 0.55 eV/atom; space group = C2/m (12)
1.0
5.319 0.000 0.000
0.000 8.268 0.000
-0.816 0.000 2.750
Ni W Se
2 4 2
Cartesian
0.000 0.000 0.000 Ni
2.660 4.134 0.000 Ni
0.922 2.067 1.375 W
0.922 6.201 1.375 W
3.581 2.067 1.375 W
3.581 6.201 1.375 W
0.000 4.134 0.000 Se
2.660 0.000 0.000 Se

=====

In eV per cell, the uncorrected energy values for the records above are, in order, -83.28; -39.99; -14.80; -93.23; -18.57; -18.54; -40.00; -100.06; -66.09; -28.83; -69.48; -23.88; -36.78; -8.46; -30.97; -20.52; -65.94.